No. 1
Tb3Si2AsPt9: optimized geometry, PBE-GGA.

Computed properties:
Space group: P-3m1
VASP energy (eV/atom): -6.303
Raw formation energy (meV/atom): -719

Cell lengths 6.464, 6.464, 8.583 Å; angles 90.00, 90.00, 120.00 degrees
Fractional coordinates of all 15 atoms:
1 Si 0.333 0.667 0.186
2 Si 0.667 0.333 0.814
3 Tb 0.000 0.000 0.000
4 Tb 0.667 0.333 0.279
5 Tb 0.333 0.667 0.721
6 Pt 0.144 0.288 0.280
7 Pt 0.288 0.144 0.720
8 Pt 0.500 0.500 0.000
9 Pt 0.500 0.000 0.000
10 Pt 0.000 0.500 0.000
11 Pt 0.856 0.144 0.720
12 Pt 0.856 0.712 0.720
13 Pt 0.712 0.856 0.280
14 Pt 0.144 0.856 0.280
15 As 0.000 0.000 0.500


No. 2
TbSi2As2Pt7: optimized geometry, PBE-GGA.

Computed properties:
Space group: C2/m
VASP energy (eV/atom): -6.188
Raw formation energy (meV/atom): -599

Cell lengths 3.948, 3.948, 14.471 Å; angles 85.03, 85.03, 89.25 degrees
Fractional coordinates of all 12 atoms:
1 Si 0.418 0.418 0.252
2 Si 0.582 0.582 0.748
3 Tb 0.000 0.000 0.000
4 Pt 0.449 0.949 0.156
5 Pt 0.393 0.393 0.415
6 Pt 0.551 0.051 0.844
7 Pt 0.607 0.607 0.585
8 Pt 0.949 0.449 0.156
9 Pt 0.051 0.551 0.844
10 Pt 0.500 0.500 0.000
11 As 0.158 0.158 0.577
12 As 0.842 0.842 0.423


No. 3
SiTc2AsPt: optimized geometry, PBE-GGA.

Computed properties:
Space group: P4/mmm
VASP energy (eV/atom): -6.593
Raw formation energy (meV/atom): 776

Cell lengths 4.522, 4.426, 4.522 Å; angles 90.00, 90.00, 90.00 degrees
Last column: magnetic moment on the atom in μB.
Fractional coordinates of all 5 atoms:
1 Pt 0.000 0.500 0.000  0.11
2 Tc 0.500 0.000 0.000  1.07
3 Tc 0.000 0.000 0.500  1.32
4 As 0.500 0.500 0.500  -0.05
5 Si 0.000 0.000 0.000  -0.04


No. 4
Th2SiAsPt6: optimized geometry, PBE-GGA.

Computed properties:
Space group: Pmmn
VASP energy (eV/atom): -7.085
Raw formation energy (meV/atom): -969

Cell lengths 5.516, 8.757, 8.353 Å; angles 90.00, 90.00, 90.00 degrees
Fractional coordinates of all 20 atoms:
1 Pt 0.500 0.123 0.240
2 Pt 0.500 0.123 0.760
3 Pt 0.752 0.522 0.000
4 Pt 0.254 0.977 0.000
5 Pt 0.000 0.877 0.260
6 Pt 0.748 0.478 0.500
7 Pt 0.754 0.023 0.500
8 Pt 0.746 0.977 0.000
9 Pt 0.246 0.023 0.500
10 Pt 0.252 0.478 0.500
11 Pt 0.000 0.877 0.740
12 Pt 0.248 0.522 0.000
13 Si 0.500 0.256 0.500
14 Si 0.000 0.744 0.000
15 As 0.000 0.714 0.500
16 As 0.500 0.286 0.000
17 Th 0.500 0.739 0.246
18 Th 0.000 0.261 0.254
19 Th 0.000 0.261 0.746
20 Th 0.500 0.739 0.754


No. 5
Y2SiAsPt6: optimized geometry, PBE-GGA.

Computed properties:
Space group: Pmmn
VASP energy (eV/atom): -6.829
Raw formation energy (meV/atom): -904

Cell lengths 5.530, 8.436, 8.392 Å; angles 90.00, 90.00, 90.00 degrees
Fractional coordinates of all 20 atoms:
1 Pt 0.000 0.879 0.746
2 Pt 0.753 0.514 0.000
3 Pt 0.247 0.514 0.000
4 Pt 0.000 0.879 0.254
5 Pt 0.500 0.121 0.754
6 Pt 0.500 0.121 0.246
7 Pt 0.747 0.486 0.500
8 Pt 0.748 0.986 0.000
9 Pt 0.252 0.986 0.000
10 Pt 0.253 0.486 0.500
11 Pt 0.752 0.014 0.500
12 Pt 0.248 0.014 0.500
13 Si 0.500 0.258 0.500
14 Si 0.000 0.742 0.000
15 As 0.500 0.275 0.000
16 As 0.000 0.725 0.500
17 Y 0.500 0.735 0.244
18 Y 0.000 0.265 0.256
19 Y 0.000 0.265 0.744
20 Y 0.500 0.735 0.756


No. 6
Y3Si2AsPt9: optimized geometry, PBE-GGA.

Computed properties:
Space group: P-3m1
VASP energy (eV/atom): -6.661
Raw formation energy (meV/atom): -711

Cell lengths 6.457, 6.457, 8.580 Å; angles 90.00, 90.00, 120.00 degrees
Fractional coordinates of all 15 atoms:
1 Pt 0.500 0.000 0.000
2 Pt 0.144 0.288 0.280
3 Pt 0.288 0.144 0.720
4 Pt 0.500 0.500 0.000
5 Pt 0.144 0.856 0.280
6 Pt 0.856 0.712 0.720
7 Pt 0.000 0.500 0.000
8 Pt 0.856 0.144 0.720
9 Pt 0.712 0.856 0.280
10 Si 0.333 0.667 0.186
11 Si 0.667 0.333 0.814
12 As 0.000 0.000 0.500
13 Y 0.333 0.667 0.719
14 Y 0.000 0.000 0.000
15 Y 0.667 0.333 0.281